{
  "formula": "NpCo2NiO6",
  "functional": "PBE with a Hubbard U",
  "state": "optimized geometry",
  "lattice_angstrom": [[5.9169, 0.0000, 0.0000], [0.0000, 5.9169, 0.0000], [0.0000, 0.0000, 4.0791]],
  "species": ["Np", "Co", "Co", "Ni", "O", "O", "O", "O", "O", "O"],
  "fractional_positions": [[0.0000, 0.0000, 0.0000], [0.0000, 0.5000, 0.0000], [0.5000, 0.0000, 0.0000], [0.5000, 0.5000, 0.0000], [0.0000, 0.0000, 0.5000], [0.2502, 0.2502, 0.0000], [0.2502, 0.7498, 0.0000], [0.5000, 0.5000, 0.5000], [0.7498, 0.2502, 0.0000], [0.7498, 0.7498, 0.0000]],
  "dos_ef_per_ev_fu": 6.44,
  "e_tot_ev_per_cell": -68.4
}